Record 1
A plane-wave DFT calculation with GGA-PBE was carried out for a relaxed structure of Ac2CeTmBi4.

It has space group P2/m (No. 10), with a = 8.1355 Å, b = 4.7066 Å, c = 8.1456 Å, α = 90.00°, β = 109.48° and γ = 90.00°. The inequivalent atoms are Ac at (0.0000, 0.0000, 0.0000), Ac at (0.5000, 0.5000, 0.0000), Ce at (0.0000, 0.5000, 0.5000), Tm at (0.5000, 0.0000, 0.5000), Bi at (0.2474, 0.0000, 0.7295) and Bi at (0.2618, 0.5000, 0.2734).

The density of states at the Fermi level is 0.84 states/eV per atom. The calculation puts the total energy at -41.2 eV per cell. The calculation puts the formation enthalpy at 0 K at -0.8779 eV per atom. The total magnetization comes out at 0.79 μB per cell.

---

Record 2
A plane-wave DFT calculation with GGA-PBE was carried out for a relaxed structure of Ac4CeY3Bi8.

It has space group R-3m (No. 166, hexagonal axes), with a = 9.3980 Å, b = 9.3980 Å, c = 23.0170 Å, α = 90.00°, β = 90.00° and γ = 120.00°. The inequivalent atoms are Ac at (0.0000, 0.0000, 0.0000), Ac at (0.0000, 0.5000, 0.0000), Ce at (0.0000, 0.0000, 0.5000), Y at (0.0000, 0.5000, 0.5000), Bi at (0.0000, 0.0000, 0.2426) and Bi at (0.0022, 0.5011, 0.7570).

The density of states at the Fermi level is 0.42 states/eV per atom. The calculation puts the total energy at -262.8 eV per cell. The calculation puts the formation enthalpy at 0 K at -0.9240 eV per atom. The total magnetization comes out at 2.16 μB per cell.

---

> Among the records above, which one has the lowest total magnetization?

Ac2CeTmBi4